# 1
# Cs2Rb2Au, relaxed, DFT PBE
# SG: P4/mbm
# Calculated volume (Å³/f.u.): 371.7
# ΔH_f (0 K) (meV per atom): -17.9
# Magnetization (μB per cell): 0.00
# Energy relative to the lowest polymorph listed for this composition (eV/atom): 0.125
# Total DFT energy (no corrections) (eV for the cell shown): -14.02
data_Cs2Rb2Au
_chemical_formula_sum 'Cs4 Rb4 Au2'
_space_group_name_H-M_alt 'P 1'
_space_group_IT_number 1
_space_group_name_Hall 'P 1'
_cell_length_a 9.548
_cell_length_b 9.548
_cell_length_c 8.156
_cell_angle_alpha 90.00
_cell_angle_beta 90.00
_cell_angle_gamma 90.00
loop_
_atom_site_label
_atom_site_type_symbol
_atom_site_fract_x
_atom_site_fract_y
_atom_site_fract_z
Cs1 Cs 0.184 0.684 0.500
Cs2 Cs 0.684 0.816 0.500
Cs3 Cs 0.816 0.316 0.500
Cs4 Cs 0.316 0.184 0.500
Au1 Au 0.000 0.000 0.000
Au2 Au 0.500 0.500 0.000
Rb1 Rb 0.327 0.827 0.000
Rb2 Rb 0.827 0.673 0.000
Rb3 Rb 0.673 0.173 0.000
Rb4 Rb 0.173 0.327 0.000

---

# 2
# CaLaSc, relaxed, DFT PBE
# SG: Pnma
# Calculated volume (Å³/f.u.): 99.4
# ΔH_f (0 K) (meV per atom): 237.0
# Magnetization (μB per cell): 0.00
# Energy relative to the lowest polymorph listed for this composition (eV/atom): 0.124
# Total DFT energy (no corrections) (eV for the cell shown): -50.20
data_CaLaSc
_chemical_formula_sum 'Ca4 La4 Sc4'
_space_group_name_H-M_alt 'P 1'
_space_group_IT_number 1
_space_group_name_Hall 'P 1'
_cell_length_a 10.113
_cell_length_b 6.960
_cell_length_c 5.649
_cell_angle_alpha 90.00
_cell_angle_beta 90.00
_cell_angle_gamma 90.00
loop_
_atom_site_label
_atom_site_type_symbol
_atom_site_fract_x
_atom_site_fract_y
_atom_site_fract_z
Sc1 Sc 0.000 0.000 0.000
Sc2 Sc 0.500 0.500 0.500
Sc3 Sc 0.500 0.000 0.500
Sc4 Sc 0.000 0.500 0.000
Ca1 Ca 0.678 0.250 0.999
Ca2 Ca 0.822 0.750 0.499
Ca3 Ca 0.322 0.750 0.001
Ca4 Ca 0.178 0.250 0.501
La1 La 0.349 0.250 0.001
La2 La 0.151 0.750 0.501
La3 La 0.651 0.750 0.999
La4 La 0.849 0.250 0.499

---

# 3
# InCu2Ag, relaxed, DFT PBE
# SG: P4mm
# Calculated volume (Å³/f.u.): 64.7
# ΔH_f (0 K) (meV per atom): 58.8
# Magnetization (μB per cell): 0.00
# Total DFT energy (no corrections) (eV for the cell shown): -13.55
data_InCu2Ag
_chemical_formula_sum 'In1 Cu2 Ag1'
_space_group_name_H-M_alt 'P 1'
_space_group_IT_number 1
_space_group_name_Hall 'P 1'
_cell_length_a 3.150
_cell_length_b 3.151
_cell_length_c 6.516
_cell_angle_alpha 90.00
_cell_angle_beta 90.00
_cell_angle_gamma 90.00
loop_
_atom_site_label
_atom_site_type_symbol
_atom_site_fract_x
_atom_site_fract_y
_atom_site_fract_z
Ag1 Ag 0.500 0.500 0.784
Cu1 Cu 0.000 0.000 0.030
Cu2 Cu 0.500 0.500 0.212
In1 In 0.000 0.000 0.474

---

# 4
# TaTlCo2C, relaxed, DFT PBE
# SG: P4/mmm
# Calculated volume (Å³/f.u.): 68.6
# ΔH_f (0 K) (meV per atom): 252.2
# Magnetization (μB per cell): 2.74
# Total DFT energy (no corrections) (eV for the cell shown): -36.39
data_TaTlCo2C
_chemical_formula_sum 'Ta1 Tl1 Co2 C1'
_space_group_name_H-M_alt 'P 1'
_space_group_IT_number 1
_space_group_name_Hall 'P 1'
_cell_length_a 4.016
_cell_length_b 4.254
_cell_length_c 4.016
_cell_angle_alpha 90.00
_cell_angle_beta 90.00
_cell_angle_gamma 90.00
loop_
_atom_site_label
_atom_site_type_symbol
_atom_site_fract_x
_atom_site_fract_y
_atom_site_fract_z
Tl1 Tl 0.500 0.500 0.500
Co1 Co 0.000 0.000 0.500
Co2 Co 0.500 0.000 0.000
C1 C 0.000 0.000 0.000
Ta1 Ta 0.000 0.500 0.000

---

# 5
# CrPSeN2, relaxed, DFT PBE
# SG: P4/mmm
# Calculated volume (Å³/f.u.): 72.6
# E_form (uncorrected) (eV/atom): 0.73
# Magnetization (μB per cell): 0.74
# Energy relative to the lowest polymorph listed for this composition (eV/atom): 0.000
# Total DFT energy (no corrections) (eV for the cell shown): -31.54
data_CrPSeN2
_chemical_formula_sum 'Cr1 P1 Se1 N2'
_space_group_name_H-M_alt 'P 1'
_space_group_IT_number 1
_space_group_name_Hall 'P 1'
_cell_length_a 3.686
_cell_length_b 3.686
_cell_length_c 5.345
_cell_angle_alpha 90.00
_cell_angle_beta 90.00
_cell_angle_gamma 90.00
loop_
_atom_site_label
_atom_site_type_symbol
_atom_site_fract_x
_atom_site_fract_y
_atom_site_fract_z
Cr1 Cr 0.000 0.000 0.000
N1 N 0.000 0.500 0.000
N2 N 0.500 0.000 0.000
Se1 Se 0.000 0.000 0.500
P1 P 0.500 0.500 0.500

---

# 6
# NaIn3Ni, relaxed, DFT PBE
# SG: Pm-3m
# Calculated volume (Å³/f.u.): 154.4
# ΔH_f (0 K) (meV per atom): 1048.0
# Magnetization (μB per cell): 0.00
# Energy relative to the lowest polymorph listed for this composition (eV/atom): 1.151
# Total DFT energy (no corrections) (eV for the cell shown): -10.08
data_NaIn3Ni
_chemical_formula_sum 'Na1 In3 Ni1'
_space_group_name_H-M_alt 'P 1'
_space_group_IT_number 1
_space_group_name_Hall 'P 1'
_cell_length_a 5.365
_cell_length_b 5.365
_cell_length_c 5.365
_cell_angle_alpha 90.00
_cell_angle_beta 90.00
_cell_angle_gamma 90.00
loop_
_atom_site_label
_atom_site_type_symbol
_atom_site_fract_x
_atom_site_fract_y
_atom_site_fract_z
Ni1 Ni 0.500 0.500 0.500
Na1 Na 0.000 0.000 0.000
In1 In 0.000 0.500 0.000
In2 In 0.000 0.000 0.500
In3 In 0.500 0.000 0.000

---

# 7
# Nd7Y12Mg, relaxed, DFT PBE
# SG: R-3
# Calculated volume (Å³/f.u.): 681.2
# ΔH_f (0 K) (meV per atom): 199.3
# Magnetization (μB per cell): 0.00
# Total DFT energy (no corrections) (eV for the cell shown): -108.55
data_Nd7Y12Mg
_chemical_formula_sum 'Nd7 Y12 Mg1'
_space_group_name_H-M_alt 'P 1'
_space_group_IT_number 1
_space_group_name_Hall 'P 1'
_cell_length_a 8.819
_cell_length_b 8.819
_cell_length_c 8.819
_cell_angle_alpha 85.99
_cell_angle_beta 85.99
_cell_angle_gamma 85.99
loop_
_atom_site_label
_atom_site_type_symbol
_atom_site_fract_x
_atom_site_fract_y
_atom_site_fract_z
Nd1 Nd 0.850 0.603 0.917
Nd2 Nd 0.397 0.083 0.150
Nd3 Nd 0.083 0.150 0.397
Nd4 Nd 0.500 0.500 0.500
Nd5 Nd 0.917 0.850 0.603
Nd6 Nd 0.603 0.917 0.850
Nd7 Nd 0.150 0.397 0.083
Y1 Y 0.859 0.245 0.739
Y2 Y 0.755 0.261 0.141
Y3 Y 0.612 0.139 0.501
Y4 Y 0.861 0.499 0.388
Y5 Y 0.261 0.141 0.755
Y6 Y 0.499 0.388 0.861
Y7 Y 0.501 0.612 0.139
Y8 Y 0.739 0.859 0.245
Y9 Y 0.139 0.501 0.612
Y10 Y 0.388 0.861 0.499
Y11 Y 0.245 0.739 0.859
Y12 Y 0.141 0.755 0.261
Mg1 Mg 0.000 0.000 0.000

---

# 8
# RbUCdSe3, relaxed, DFT PBE
# SG: P2_1/m
# Calculated volume (Å³/f.u.): 196.9
# E_form (uncorrected) (eV/atom): -0.99
# Magnetization (μB per cell): 4.20
# Total DFT energy (no corrections) (eV for the cell shown): -59.16
data_RbUCdSe3
_chemical_formula_sum 'Rb2 U2 Cd2 Se6'
_space_group_name_H-M_alt 'P 1'
_space_group_IT_number 1
_space_group_name_Hall 'P 1'
_cell_length_a 4.141
_cell_length_b 8.888
_cell_length_c 11.226
_cell_angle_alpha 107.65
_cell_angle_beta 90.00
_cell_angle_gamma 90.00
loop_
_atom_site_label
_atom_site_type_symbol
_atom_site_fract_x
_atom_site_fract_y
_atom_site_fract_z
Rb1 Rb 0.250 0.239 0.289
Rb2 Rb 0.750 0.761 0.711
U1 U 0.250 0.654 0.154
U2 U 0.750 0.346 0.846
Cd1 Cd 0.250 0.113 0.575
Cd2 Cd 0.750 0.887 0.425
Se1 Se 0.750 0.885 0.178
Se2 Se 0.250 0.115 0.822
Se3 Se 0.250 0.665 0.403
Se4 Se 0.750 0.335 0.597
Se5 Se 0.750 0.421 0.113
Se6 Se 0.250 0.579 0.887